Here is BeHgW2 at its PBEsol-relaxed geometry from Alexandria via LeMat-Bulk. Energies are from meta-GGA SCAN.

CIF file:
```
data_BeHgW2
_chemical_formula_sum 'Be3 Hg3 W6'
_symmetry_space_group_name_H-M 'R -3 m'
_symmetry_Int_Tables_number 166
_symmetry_space_group_name_Hall '-R 3 2"'
_cell_length_a 2.8045
_cell_length_b 2.8045
_cell_length_c 27.0234
_cell_angle_alpha 90.00
_cell_angle_beta 90.00
_cell_angle_gamma 120.00
loop_
_atom_site_label
_atom_site_type_symbol
_atom_site_fract_x
_atom_site_fract_y
_atom_site_fract_z
Be1 Be 0.0000 0.0000 0.0000
Hg1 Hg 0.0000 0.0000 0.5000
W1 W 0.0000 0.0000 0.2584
```

## Properties
Calculated density = 15.6 Mg/m³
Excess energy over the best structure of this formula in the dataset = 0.173 eV per atom

***

Here is TcSb2C at its PBEsol-relaxed geometry from Alexandria via LeMat-Bulk. Energies are from meta-GGA SCAN.

CIF file:
```
data_TcSb2C
_chemical_formula_sum 'Tc4 Sb8 C4'
_symmetry_space_group_name_H-M 'I -4 2 d'
_symmetry_Int_Tables_number 122
_symmetry_space_group_name_Hall 'I -4 2bw'
_cell_length_a 5.9211
_cell_length_b 5.9211
_cell_length_c 8.8058
_cell_angle_alpha 90.00
_cell_angle_beta 90.00
_cell_angle_gamma 90.00
loop_
_atom_site_label
_atom_site_type_symbol
_atom_site_fract_x
_atom_site_fract_y
_atom_site_fract_z
Tc1 Tc 0.0000 0.0000 0.0000
Sb1 Sb 0.1945 0.7500 0.6250
C1 C 0.0000 0.0000 0.5000
```

## Properties
Uncorrected formation energy = 1.037 eV per atom
Calculated density = 7.6 Mg/m³

***

Here is Tl2GeSbRh at its PBEsol-relaxed geometry from Alexandria via LeMat-Bulk. Energies are from meta-GGA SCAN.

CIF file:
```
data_Tl2GeSbRh
_chemical_formula_sum 'Tl2 Ge1 Sb1 Rh1'
_symmetry_space_group_name_H-M 'P 4/m m m'
_symmetry_Int_Tables_number 123
_symmetry_space_group_name_Hall '-P 4 2'
_cell_length_a 5.5967
_cell_length_b 5.5967
_cell_length_c 4.8405
_cell_angle_alpha 90.00
_cell_angle_beta 90.00
_cell_angle_gamma 90.00
loop_
_atom_site_label
_atom_site_type_symbol
_atom_site_fract_x
_atom_site_fract_y
_atom_site_fract_z
Tl1 Tl 0.0000 0.5000 0.0000
Ge1 Ge 0.0000 0.0000 0.5000
Sb1 Sb 0.5000 0.5000 0.0000
Rh1 Rh 0.5000 0.5000 0.5000
```

## Properties
Uncorrected formation energy = 0.897 eV per atom
Calculated density = 7.7 Mg/m³

***

Here is ZnFeSb4 at its PBEsol-relaxed geometry from Alexandria via LeMat-Bulk. Energies are from meta-GGA SCAN.

CIF file:
```
data_ZnFeSb4
_chemical_formula_sum 'Zn4 Fe4 Sb16'
_symmetry_space_group_name_H-M 'F -4 3 m'
_symmetry_Int_Tables_number 216
_symmetry_space_group_name_Hall 'F -4 2 3'
_cell_length_a 8.5527
_cell_length_b 8.5527
_cell_length_c 8.5527
_cell_angle_alpha 90.00
_cell_angle_beta 90.00
_cell_angle_gamma 90.00
loop_
_atom_site_label
_atom_site_type_symbol
_atom_site_fract_x
_atom_site_fract_y
_atom_site_fract_z
Zn1 Zn 0.0000 0.0000 0.0000
Fe1 Fe 0.2500 0.2500 0.2500
Sb1 Sb 0.1254 0.1254 0.6254
```

## Properties
Uncorrected formation energy = 0.843 eV per atom
Calculated density = 6.5 Mg/m³